[1]
A plane-wave DFT calculation with PBE was carried out for Np4Ga12Mo after structural relaxation.

```
Np4Ga12Mo
1.0
-4.467 -3.621 -4.799
4.153 -4.960 3.774
-4.175 3.936 4.813
Np Ga Mo
4 12 1
Direct
0.000 0.000 0.500
0.500 0.000 0.000
0.500 0.500 0.500
0.000 0.500 0.000
0.000 0.294 0.294
0.000 0.706 0.706
0.706 0.706 0.000
0.294 0.294 0.000
0.294 0.000 0.294
0.706 0.000 0.706
0.500 0.250 0.750
0.500 0.750 0.250
0.750 0.250 0.500
0.250 0.750 0.500
0.750 0.500 0.250
0.250 0.500 0.750
0.000 0.000 0.000
```

Energy (eV per cell): -102.00
SG: No. 229


[2]
A plane-wave DFT calculation with PBE was carried out for Sr2MnCl after structural relaxation.

```
Sr2MnCl
1.0
7.707 -0.020 0.000
5.141 5.741 0.000
-6.424 -2.861 3.153
Cl Mn Sr
1 1 2
Direct
0.500 0.500 0.000
0.750 0.250 0.500
0.000 0.000 0.000
0.250 0.750 0.500
```

Energy relative to the elements, uncorrected (kcal/mol of atoms): -5.22
SG: No. 119
E above lowest polymorph (meV per atom): 269


[3]
A plane-wave DFT calculation with PBE was carried out for Mg2BiS after structural relaxation.

```
Mg2BiS
1.0
3.800 0.000 0.000
1.900 3.291 0.000
1.900 1.097 7.272
Mg S Bi
2 1 1
Direct
0.265 0.265 0.204
0.735 0.735 0.796
0.000 0.000 0.000
0.500 0.500 0.500
```

Energy relative to the elements, uncorrected (kcal/mol of atoms): -16.87
SG: No. 166
E above lowest polymorph (meV per atom): 0


[4]
A plane-wave DFT calculation with PBE was carried out for KLaBr2 after structural relaxation.

```
KLaBr2
1.0
8.261 -0.103 0.000
6.018 5.660 0.000
-7.139 -2.779 3.092
Br K La
2 1 1
Direct
0.000 0.000 0.000
0.250 0.750 0.500
0.500 0.500 0.000
0.750 0.250 0.500
```

Energy relative to the elements, uncorrected (kcal/mol of atoms): -25.70
SG: No. 119
E above lowest polymorph (meV per atom): 315


[5]
A plane-wave DFT calculation with PBE was carried out for Ba2ZrCdMo after structural relaxation.

```
Ba2ZrCdMo
1.0
-1.369 -0.096 6.048
-2.653 -4.117 -0.666
5.051 -3.431 1.089
Mo Ba Zr Cd
1 2 1 1
Direct
0.000 0.000 0.000
0.000 0.000 0.500
0.500 0.000 0.000
0.000 0.500 0.000
0.500 0.500 0.500
```

Energy (eV per cell): -20.76
SG: No. 123


[6]
A plane-wave DFT calculation with PBE was carried out for Pm2SbW after structural relaxation.

```
Pm2SbW
1.0
4.081 0.000 0.000
0.000 4.963 0.000
0.000 0.000 4.963
Sb W Pm
1 1 2
Direct
0.500 0.000 0.000
0.500 0.500 0.500
0.000 0.000 0.500
0.000 0.500 0.000
```

Energy relative to the elements, uncorrected (kcal/mol of atoms): 1.94
SG: No. 123


[7]
A plane-wave DFT calculation with PBE was carried out for YMn2NiS after structural relaxation.

```
YMn2NiS
1.0
4.323 0.000 0.000
0.000 5.122 0.000
0.000 0.000 4.323
Y Ni S Mn
1 1 1 2
Direct
0.000 0.500 0.000
0.500 0.500 0.500
0.000 0.000 0.000
0.000 0.000 0.500
0.500 0.000 0.000
```

Energy relative to the elements, uncorrected (kcal/mol of atoms): 1.04
SG: No. 123


[8]
A plane-wave DFT calculation with PBE was carried out for ErSc2Bi4 after structural relaxation.

```
ErSc2Bi4
1.0
-0.157 1.771 -4.012
0.042 -6.023 -0.260
-16.275 -0.139 0.574
Er Sc Bi
2 4 8
Direct
0.568 0.136 0.750
0.432 0.864 0.250
0.155 0.310 0.427
0.845 0.690 0.927
0.155 0.310 0.073
0.845 0.690 0.573
0.838 0.675 0.119
0.838 0.675 0.381
0.162 0.325 0.881
0.162 0.325 0.619
0.860 0.719 0.750
0.140 0.281 0.250
0.500 0.000 0.000
0.500 0.000 0.500
```

Energy (eV per cell): -72.39
SG: No. 63


[9]
A plane-wave DFT calculation with PBE was carried out for La2BeAl3Pt4 after structural relaxation.

```
La2BeAl3Pt4
1.0
-2.421 2.193 -2.868
-2.812 -3.311 -0.158
-5.272 4.114 7.595
La Be Al Pt
2 1 3 4
Direct
0.500 0.000 0.256
0.000 0.500 0.744
0.500 0.500 0.500
0.000 0.000 0.500
0.500 0.000 0.872
0.000 0.500 0.128
0.500 0.500 0.000
0.000 0.000 0.000
0.500 0.000 0.622
0.000 0.500 0.378
```

Energy (eV per cell): -59.16
SG: No. 115


[10]
A plane-wave DFT calculation with PBE was carried out for Sr6AgPd2I3 after structural relaxation.

```
Sr6AgPd2I3
1.0
-2.243 -3.034 -6.833
7.446 -0.575 2.271
-3.460 -6.084 5.325
Sr Ag Pd I
6 1 2 3
Direct
0.933 0.584 0.798
0.718 0.718 0.201
0.067 0.416 0.202
0.584 0.933 0.798
0.282 0.282 0.799
0.416 0.067 0.202
0.000 0.000 0.000
0.333 0.667 0.000
0.667 0.333 0.000
0.164 0.836 0.500
0.836 0.164 0.500
0.500 0.500 0.500
```

Energy relative to the elements, uncorrected (kcal/mol of atoms): -20.40
SG: No. 12


[11]
A plane-wave DFT calculation with PBE was carried out for CeMg11Zn after structural relaxation.

```
CeMg11Zn
1.0
5.409 -0.018 2.254
2.627 7.124 1.095
-0.056 -0.009 7.753
Ce Mg Zn
1 11 1
Direct
0.000 0.000 0.000
0.294 0.218 0.209
0.706 0.782 0.791
0.497 0.782 0.209
0.503 0.218 0.791
0.353 0.645 0.655
0.647 0.355 0.345
0.992 0.355 0.655
0.008 0.645 0.345
0.000 0.500 0.000
0.500 0.000 0.500
0.000 0.000 0.500
0.500 0.500 0.000
```

Energy (eV per cell): -25.19
SG: No. 12


[12]
A plane-wave DFT calculation with PBE was carried out for BaMg5Al2 after structural relaxation.

```
BaMg5Al2
1.0
4.349 0.000 1.439
1.554 6.627 2.595
0.002 -0.110 7.284
Ba Mg Al
1 5 2
Direct
0.000 0.000 0.000
0.000 0.500 0.500
0.654 0.528 0.164
0.346 0.472 0.836
0.346 0.836 0.472
0.654 0.164 0.528
0.747 0.753 0.753
0.253 0.247 0.247
```

Energy (eV per cell): -18.10
SG: No. 71